Hf12NbPb6 PBE-GGA relaxed; total energy = -7.8639 eV per atom; density of states at the Fermi level = 0.74 states/eV/atom
1.0
5.446 3.144 4.253
-5.446 3.144 4.253
0.000 -6.289 4.253
Hf Nb Pb
12 1 6
direct
0.025 0.298 0.951
0.049 0.975 0.702
0.132 0.358 0.445
0.298 0.951 0.025
0.358 0.445 0.132
0.445 0.132 0.358
0.555 0.868 0.642
0.642 0.555 0.868
0.702 0.049 0.975
0.868 0.642 0.555
0.951 0.025 0.298
0.975 0.702 0.049
0.500 0.500 0.500
0.221 0.763 0.378
0.237 0.622 0.779
0.378 0.221 0.763
0.622 0.779 0.237
0.763 0.378 0.221
0.779 0.237 0.622

=====

HfNb2Pb PBE-GGA relaxed; total energy = -7.6989 eV per atom; density of states at the Fermi level = 0.85 states/eV/atom
1.0
-3.909 3.909 2.923
3.909 -3.909 2.923
3.909 3.909 -2.923
Hf Nb Pb
2 4 2
direct
0.000 0.000 0.000
0.750 0.250 0.500
0.128 0.625 0.003
0.375 0.378 0.503
0.622 0.125 0.997
0.875 0.872 0.497
0.250 0.750 0.500
0.500 0.500 0.000

=====

Hf5NbPb2 PBE-GGA relaxed; total energy = -8.0268 eV per atom; density of states at the Fermi level = 0.92 states/eV/atom
1.0
2.500 -6.850 0.000
2.500 6.850 0.000
0.000 0.000 12.217
Hf Nb Pb
10 2 4
direct
0.109 0.891 0.627
0.109 0.891 0.873
0.309 0.691 0.504
0.309 0.691 0.996
0.323 0.677 0.250
0.677 0.323 0.750
0.691 0.309 0.004
0.691 0.309 0.496
0.891 0.109 0.127
0.891 0.109 0.373
0.291 0.709 0.750
0.709 0.291 0.250
0.110 0.890 0.124
0.110 0.890 0.376
0.890 0.110 0.624
0.890 0.110 0.876

=====

HfNb3Pb PBE-GGA relaxed; density of states at the Fermi level = 1.53 states/eV/atom; energy above the most stable polymorph in this dataset = 392.6 meV/atom
1.0
5.097 0.000 0.000
0.000 5.097 0.000
0.000 0.000 5.097
Hf Nb Pb
1 3 1
direct
0.000 0.000 0.000
0.000 0.500 0.500
0.500 0.000 0.500
0.500 0.500 0.000
0.500 0.500 0.500

=====

HfNbPbS2 PBE-GGA relaxed; formation energy (no corrections) = 265 meV/atom; density of states at the Fermi level = 1.02 states/eV/atom
1.0
4.658 0.000 0.000
0.000 4.658 0.000
0.000 0.000 5.760
Hf Nb Pb S
1 1 1 2
direct
0.000 0.000 0.000
0.500 0.500 0.500
0.500 0.500 0.000
0.000 0.500 0.500
0.500 0.000 0.500

=====

HfNb2SnPb PBE-GGA relaxed; total energy = -6.0175 eV per atom; density of states at the Fermi level = 0.98 states/eV/atom
1.0
5.101 0.000 0.000
0.000 5.101 0.000
0.000 0.000 5.461
Hf Nb Sn Pb
1 2 1 1
direct
0.000 0.000 0.000
0.000 0.500 0.500
0.500 0.000 0.500
0.500 0.500 0.500
0.500 0.500 0.000